#P
Entry from the Alexandria database: a relaxed structure of LiAcZnPt (GGA-PBE).

abc: 7.7838 4.4832 5.7723
angles: 90.00 116.87 90.00
Space group Cm (No. 8)
Inequivalent atoms, fractional coordinates:
Li  0.0000  0.0000  0.0000 (multiplicity 2)
Ac  0.1933  0.0000  0.5812 (multiplicity 2)
Zn  0.2081  0.5000  0.1246 (multiplicity 2)
Pt  0.3988  0.0000  0.1956 (multiplicity 2)

ρ (g cm⁻³): 9.138
M_tot (μB per cell): 0.00

---

#Q
Entry from the Alexandria database: a relaxed structure of LiAcZnPt (GGA-PBE).

abc: 7.0384 7.0384 7.0384
angles: 90.00 90.00 90.00
Space group F-43m (No. 216)
Inequivalent atoms, fractional coordinates:
Li  0.0000  0.0000  0.0000 (multiplicity 4)
Ac  0.2500  0.2500  0.2500 (multiplicity 4)
Zn  0.2500  0.2500  0.7500 (multiplicity 4)
Pt  0.0000  0.0000  0.5000 (multiplicity 4)

ρ (g cm⁻³): 9.419
M_tot (μB per cell): 0.00

---

What should be chosen as the least stable of them? Choose #Q.

---

#P
Entry from the Alexandria database: a relaxed structure of Li2AcRh (GGA-PBE).

abc: 4.4209 4.4209 14.8561
angles: 90.00 90.00 120.00
Space group R-3m (No. 166, hexagonal axes)
Inequivalent atoms, fractional coordinates:
Li  0.0000  0.0000  0.2036 (multiplicity 6)
Ac  0.0000  0.0000  0.0000 (multiplicity 3)
Rh  0.0000  0.0000  0.5000 (multiplicity 3)

ρ (g cm⁻³): 6.811
M_tot (μB per cell): 0.00

---

#Q
Entry from the Alexandria database: a relaxed structure of Li2AcRh (GGA-PBE).

abc: 4.1502 8.4724 5.5182
angles: 90.00 112.09 90.00
Space group P2_1/m (No. 11)
Inequivalent atoms, fractional coordinates:
Li  0.1753  0.0573  0.3500 (multiplicity 4)
Ac  0.4487  0.2500  0.8941 (multiplicity 2)
Rh  0.2565  0.7500  0.5140 (multiplicity 2)

ρ (g cm⁻³): 6.350
M_tot (μB per cell): 0.00

---

#R
Entry from the Alexandria database: a relaxed structure of Li2AcRh (GGA-PBE).

abc: 6.7872 6.7872 6.7872
angles: 90.00 90.00 90.00
Space group Fm-3m (No. 225)
Inequivalent atoms, fractional coordinates:
Li  0.2500  0.2500  0.2500 (multiplicity 8)
Ac  0.0000  0.0000  0.0000 (multiplicity 4)
Rh  0.0000  0.0000  0.5000 (multiplicity 4)

ρ (g cm⁻³): 7.303
M_tot (μB per cell): 0.00

---

What should be chosen as the least stable of them? Choose #R.